A relaxed NaMnO4 crystal, computed with GGA+U.

Cell and atoms, written as POSCAR:
```
NaMnO4
1.0
-4.358 -0.465 -3.142
4.411 -2.573 -1.731
-2.075 -6.102 3.782
O Mn Na
8 2 2
direct
0.692 0.771 0.750 O
0.743 0.257 0.426 O
0.257 0.743 0.574 O
0.771 0.692 0.250 O
0.257 0.743 0.926 O
0.308 0.229 0.250 O
0.743 0.257 0.074 O
0.229 0.308 0.750 O
0.643 0.357 0.250 Mn
0.357 0.643 0.750 Mn
0.000 0.000 0.000 Na
0.000 0.000 0.500 Na
```

- E (eV/atom) = -5.699